The following is a DFT calculation (PBE) of TcSbPbI2 after structural relaxation.

Calculated values
- electronic total energy (eV per atom) = -3.7996
- D(E_F) (states/eV per cell) = 7.22
- total moment (μB per formula unit) = 0.8
- relative energy among the computed polymorphs (meV per atom) = 0

Lattice parameters (Å, degrees): 5.579 5.579 5.117 90.00 90.00 90.00
Space group P4/mmm (No. 123)
Asymmetric unit:
Tc (0.000, 0.000, 0.000) (multiplicity 1)
Sb (0.000, 0.000, 0.500) (multiplicity 1)
Pb (0.500, 0.500, 0.500) (multiplicity 1)
I (0.000, 0.500, 0.000) (multiplicity 2)

---

The following is a DFT calculation (PBE) of PmZn8Cu2 after structural relaxation.

Calculated values
- electronic total energy (eV per atom) = -1.8995
- D(E_F) (states/eV per cell) = 5.27
- total moment (μB per formula unit) = 0.0
- energy relative to the elements (eV/atom) = 0.204

Lattice parameters (Å, degrees): 5.218 5.218 8.524 90.00 90.00 90.00
Space group P4/mmm (No. 123)
Asymmetric unit:
Pm (0.000, 0.000, 0.000) (multiplicity 1)
Zn (0.252, 0.252, 0.294) (multiplicity 8)
Cu (0.000, 0.500, 0.500) (multiplicity 2)

---

The following is a DFT calculation (PBE) of LaTbCo after structural relaxation.

Calculated values
- electronic total energy (eV per atom) = -5.5767
- D(E_F) (states/eV per cell) = 21.37
- total moment (μB per formula unit) = 0.0
- energy relative to the elements (eV/atom) = -0.022
- relative energy among the computed polymorphs (meV per atom) = 117

Lattice parameters (Å, degrees): 19.288 4.523 7.501 90.00 93.23 90.00
Space group C2/m (No. 12)
Asymmetric unit:
La (0.066, 0.000, 0.325) (multiplicity 4)
La (0.088, 0.500, 0.859) (multiplicity 4)
Tb (0.210, 0.000, 0.619) (multiplicity 4)
Tb (0.216, 0.000, 0.119) (multiplicity 4)
Co (0.147, 0.500, 0.507) (multiplicity 4)
Co (0.148, 0.500, 0.201) (multiplicity 4)

---

The following is a DFT calculation (PBE) of CaRhF after structural relaxation.

Calculated values
- electronic total energy (eV per atom) = -5.6564
- D(E_F) (states/eV per cell) = 4.25
- total moment (μB per formula unit) = 0.5
- relative energy among the computed polymorphs (meV per atom) = 4

Lattice parameters (Å, degrees): 3.730 3.730 7.625 90.00 90.00 90.00
Space group P4/nmm (No. 129, origin choice 2)
Asymmetric unit:
Ca (0.250, 0.250, 0.181) (multiplicity 2)
Rh (0.250, 0.750, 0.500) (multiplicity 2)
F (0.250, 0.750, 0.000) (multiplicity 2)

---

The highest total moment belongs to which entry? TcSbPbI2